Entry 1:
DFT (PBE) results for crystalline K3MoI2Br6 at its relaxed geometry.

```
12
Lattice="-0.625 3.493 4.830 -9.118 0.789 -1.749 3.048 -7.465 5.562" Properties=species:S:1:pos:R:3 pbc="T T T"
K -3.347 -1.592 4.322
K -4.559 0.394 -0.875
K 1.212 -1.986 5.196
Br -8.031 2.295 2.756
Br -4.294 -4.992 4.807
Br -6.192 -2.435 6.361
Br -0.503 -0.749 2.282
Br 1.336 -5.479 5.887
Br -2.401 1.808 3.837
I -5.210 -2.002 1.437
I -1.485 -1.182 7.206
Mo -0.312 1.746 2.415
```

Properties
* volume: 40.092 Å³/atom
* SG: C2/m, No. 12
* E: -3.24 eV per atom
* density of states at the Fermi level: 9.3 states/eV per cell

***

Entry 2:
DFT (PBE) results for crystalline K2NaIBr6 at its relaxed geometry.

```
10
Lattice="-4.021 7.210 -4.690 0.946 -0.751 -6.350 -7.724 0.030 -4.471" Properties=species:S:1:pos:R:3 pbc="T T T"
Na -6.769 5.279 -11.474
Br -2.708 0.568 -8.690
Br -9.385 6.577 -11.634
Br -5.129 6.744 -9.450
Br -9.362 4.584 -7.148
Br -6.810 2.797 -9.567
Br -5.085 4.769 -4.979
K -3.901 3.874 -7.885
K -6.568 0.240 -4.037
I -1.374 2.042 -3.716
```

Properties
* volume: 39.697 Å³/atom
* SG: P1, No. 1
* E: -2.51 eV per atom
* density of states at the Fermi level: 0.0 states/eV per cell